Entry 1:
# Na3Zn6Ag, optimized geometry, DFT GGA-PBE
# Formation energy ... 0.00 eV per atom
data_Na3Zn6Ag
_chemical_formula_sum 'Na6 Zn12 Ag2'
_cell_length_a 12.173
_cell_length_b 5.272
_cell_length_c 6.943
_cell_angle_alpha 90.00
_cell_angle_beta 116.94
_cell_angle_gamma 90.00
_symmetry_space_group_name_H-M 'C 1 2/m 1'
_symmetry_Int_Tables_number 12
loop_
_symmetry_equiv_pos_as_xyz
'x,y,z'
'-x,-y,-z'
'-x,y,-z'
'x,-y,z'
'x+1/2,y+1/2,z'
'-x+1/2,-y+1/2,-z'
'-x+1/2,y+1/2,-z'
'x+1/2,-y+1/2,z'
loop_
_atom_site_label
_atom_site_fract_x
_atom_site_fract_y
_atom_site_fract_z
_atom_site_occupancy
Na1 0.000 0.000 0.000 1
Na2 0.026 0.500 0.286 1
Zn1 0.205 0.000 0.451 1
Zn2 0.223 0.248 0.799 1
Ag1 0.000 0.000 0.500 1

Entry 2:
# Rb6Bi2O, optimized geometry, DFT GGA-PBE
# Uncorrected formation energy ... -485 meV per atom
data_Rb6Bi2O
_chemical_formula_sum 'Rb12 Bi4 O2'
_cell_length_a 8.248
_cell_length_b 8.248
_cell_length_c 11.717
_cell_angle_alpha 90.00
_cell_angle_beta 90.00
_cell_angle_gamma 90.00
_symmetry_space_group_name_H-M 'I 4/m m m'
_symmetry_Int_Tables_number 139
_symmetry_space_group_name_Hall '-I 4 2'
loop_
_atom_site_label
_atom_site_fract_x
_atom_site_fract_y
_atom_site_fract_z
_atom_site_occupancy
Rb1 0.000 0.000 0.231 1
Rb2 0.231 0.231 0.000 1
Bi1 0.000 0.500 0.250 1
O1 0.000 0.000 0.000 1

Entry 3:
# Cs2CdIn3Bi4, optimized geometry, DFT GGA-PBE
# Formation energy ... -0.20 eV per atom
data_Cs2CdIn3Bi4
_chemical_formula_sum 'Cs2 Cd1 In3 Bi4'
_cell_length_a 5.172
_cell_length_b 5.172
_cell_length_c 14.095
_cell_angle_alpha 90.00
_cell_angle_beta 90.00
_cell_angle_gamma 90.00
_symmetry_space_group_name_H-M 'P -4 m 2'
_symmetry_Int_Tables_number 115
loop_
_symmetry_equiv_pos_as_xyz
'x,y,z'
'y,-x,-z'
'-x,-y,z'
'-y,x,-z'
'-x,y,z'
'-y,-x,-z'
'x,-y,z'
'y,x,-z'
loop_
_atom_site_label
_atom_site_fract_x
_atom_site_fract_y
_atom_site_fract_z
_atom_site_occupancy
Cs1 0.000 0.500 0.248 1
Cd1 0.500 0.500 0.000 1
In1 0.000 0.000 0.000 1
In2 0.000 0.500 0.638 1
Bi1 0.000 0.000 0.500 1
Bi2 0.000 0.500 0.874 1
Bi3 0.500 0.500 0.500 1

- Which formula does entry 3 have?
  Cs2CdIn3Bi4